Record 1
Material: Tm8In2Co
Method: DFT, PBE-GGA
State: relaxed

The structure belongs to space group C2/m (No. 12); the cell edges are 17.000, 5.407 and 6.835 Å and the angles 90.00°, 113.21° and 90.00°. The inequivalent atoms are Tm at (0.006, 0.000, 0.265), Tm at (0.110, 0.500, 0.892), Tm at (0.132, 0.500, 0.395), Tm at (0.194, 0.000, 0.725), In at (0.184, 0.000, 0.189) and Co at (0.000, 0.500, 0.500).

The value obtained for the density of states at the Fermi level is 0.974 states/eV/atom. As for the total DFT energy (no corrections): -4.603 eV/atom.

Record 2
Material: Tm4InCo
Method: DFT, PBE-GGA
State: relaxed

The structure belongs to space group C2/c (No. 15); the cell edges are 8.663, 12.738 and 5.872 Å and the angles 90.00°, 107.57° and 90.00°. The inequivalent atoms are Tm at (0.109, 0.163, 0.049), Tm at (0.220, 0.422, 0.383), In at (0.000, 0.374, 0.750) and Co at (0.000, 0.000, 0.250).

The value obtained for the density of states at the Fermi level is 0.863 states/eV/atom. The relative energy among the computed polymorphs comes out at 46 meV per atom. As for the total DFT energy (no corrections): -4.904 eV/atom.

Record 3
Material: Tm7In2Co2
Method: DFT, PBE-GGA
State: relaxed

The structure belongs to space group Cmmm (No. 65); the cell edges are 7.782, 10.789 and 6.911 Å and the angles 90.00°, 90.00° and 90.00°. The inequivalent atoms are Tm at (0.000, 0.000, 0.000), Tm at (0.000, 0.500, 0.232), Tm at (0.250, 0.250, 0.242), In at (0.179, 0.000, 0.500) and Co at (0.000, 0.292, 0.000).

The value obtained for the density of states at the Fermi level is 0.946 states/eV/atom. As for the total DFT energy (no corrections): -4.822 eV/atom.

Record 4
Material: Tm4InCo
Method: DFT, PBE-GGA
State: relaxed

The structure belongs to space group F-43m (No. 216); the cell edges are 13.304, 13.304 and 13.304 Å and the angles 90.00°, 90.00° and 90.00°. The inequivalent atoms are Tm at (0.000, 0.000, 0.189), Tm at (0.060, 0.250, 0.250), Tm at (0.153, 0.153, 0.653), In at (0.083, 0.083, 0.417) and Co at (0.140, 0.140, 0.860).

The value obtained for the density of states at the Fermi level is 0.645 states/eV/atom. The relative energy among the computed polymorphs comes out at 0 meV per atom. As for the total DFT energy (no corrections): -4.950 eV/atom.

Record 5
Material: Tm12In5Co2
Method: DFT, PBE-GGA
State: relaxed

The structure belongs to space group C2/m (No. 12); the cell edges are 16.674, 7.415 and 9.636 Å and the angles 90.00°, 106.04° and 90.00°. The inequivalent atoms are Tm at (0.000, 0.000, 0.229), Tm at (0.005, 0.500, 0.828), Tm at (0.152, 0.252, 0.575), Tm at (0.157, 0.237, 0.082), In at (0.000, 0.500, 0.500), In at (0.193, 0.000, 0.356), In at (0.193, 0.000, 0.839) and Co at (0.000, 0.208, 0.000).

The value obtained for the density of states at the Fermi level is 0.853 states/eV/atom. As for the total DFT energy (no corrections): -4.375 eV/atom.

Record 6
Material: TmInCo
Method: DFT, PBE-GGA
State: relaxed

The structure belongs to space group Pmma (No. 51); the cell edges are 12.338, 3.874 and 7.423 Å and the angles 90.00°, 90.00° and 90.00°. The inequivalent atoms are Tm at (0.045, 0.000, 0.227), Tm at (0.250, 0.000, 0.854), In at (0.121, 0.500, 0.575), In at (0.250, 0.500, 0.192), Co at (0.086, 0.500, 0.948) and Co at (0.250, 0.000, 0.444).

The value obtained for the density of states at the Fermi level is 0.638 states/eV/atom. As for the total DFT energy (no corrections): -5.108 eV/atom.

Record 7
Material: TmInCo
Method: DFT, PBE-GGA
State: relaxed

The structure belongs to space group I4mm (No. 107); the cell edges are 3.254, 3.254 and 11.096 Å and the angles 90.00°, 90.00° and 90.00°. The inequivalent atoms are Tm at (0.000, 0.000, 0.000), In at (0.000, 0.000, 0.284) and Co at (0.000, 0.000, 0.648).

The value obtained for the density of states at the Fermi level is 0.732 states/eV/atom. As for the total DFT energy (no corrections): -4.958 eV/atom.

Record 8
Material: Tm2InCo2
Method: DFT, PBE-GGA
State: relaxed

The structure belongs to space group C2/c (No. 15); the cell edges are 9.634, 5.353 and 7.777 Å and the angles 90.00°, 105.66° and 90.00°. The inequivalent atoms are Tm at (0.147, 0.154, 0.147), In at (0.000, 0.350, 0.750) and Co at (0.150, 0.344, 0.507).

The value obtained for the density of states at the Fermi level is 0.642 states/eV/atom. As for the total DFT energy (no corrections): -5.513 eV/atom.

Record 9
Material: Tm12InCo6
Method: DFT, PBE-GGA
State: relaxed

The structure belongs to space group Im-3 (No. 204); the cell edges are 9.511, 9.511 and 9.511 Å and the angles 90.00°, 90.00° and 90.00°. The inequivalent atoms are Tm at (0.000, 0.302, 0.194), In at (0.000, 0.000, 0.000) and Co at (0.000, 0.114, 0.500).

The value obtained for the density of states at the Fermi level is 0.752 states/eV/atom. As for the total DFT energy (no corrections): -5.496 eV/atom.

Record 10
Material: Tm8In3Co
Method: DFT, PBE-GGA
State: relaxed

The structure belongs to space group P6_3mc (No. 186); the cell edges are 10.2224, 10.2224 and 6.9162 Å and the angles 90.00°, 90.00° and 120.00°. The inequivalent atoms are Tm at (0.0000, 0.0000, 0.2802), Tm at (0.0695, 0.5348, 0.2937), Tm at (0.1789, 0.3578, 0.0000), Tm at (0.3333, 0.6667, 0.6838), In at (0.1625, 0.3251, 0.5397) and Co at (0.3333, 0.6667, 0.0708).

The value obtained for the density of states at the Fermi level is 0.408 states/eV/atom. As for the total DFT energy (no corrections): -4.617 eV/atom.

Record 11
Material: TmInCo
Method: DFT, PBE-GGA
State: relaxed

The structure belongs to space group F-43m (No. 216); the cell edges are 6.368, 6.368 and 6.368 Å and the angles 90.00°, 90.00° and 90.00°. The inequivalent atoms are Tm at (0.000, 0.000, 0.000), In at (0.000, 0.000, 0.500) and Co at (0.250, 0.250, 0.250).

The value obtained for the density of states at the Fermi level is 0.512 states/eV/atom. As for the total DFT energy (no corrections): -4.928 eV/atom.

Record 12
Material: Tm5In2Co2
Method: DFT, PBE-GGA
State: relaxed

The structure belongs to space group Cmce (No. 64); the cell edges are 16.584, 7.197 and 7.161 Å and the angles 90.00°, 90.00° and 90.00°. The inequivalent atoms are Tm at (0.000, 0.000, 0.000), Tm at (0.115, 0.183, 0.321), In at (0.229, 0.000, 0.000) and Co at (0.000, 0.113, 0.611).

The value obtained for the density of states at the Fermi level is 0.735 states/eV/atom. As for the total DFT energy (no corrections): -4.980 eV/atom.

Record 13
Material: Tm12InCo5
Method: DFT, PBE-GGA
State: relaxed

The structure belongs to space group Immm (No. 71); the cell edges are 9.221, 9.255 and 9.746 Å and the angles 90.00°, 90.00° and 90.00°. The inequivalent atoms are Tm at (0.000, 0.195, 0.186), Tm at (0.186, 0.211, 0.500), Tm at (0.193, 0.500, 0.287), In at (0.000, 0.500, 0.000), Co at (0.000, 0.000, 0.387), Co at (0.000, 0.500, 0.500) and Co at (0.124, 0.000, 0.000).

The value obtained for the density of states at the Fermi level is 0.802 states/eV/atom. As for the total DFT energy (no corrections): -5.388 eV/atom.

Record 14
Material: Tm5InCo2
Method: DFT, PBE-GGA
State: relaxed

The structure belongs to space group I4/mcm (No. 140); the cell edges are 7.504, 7.504 and 13.365 Å and the angles 90.00°, 90.00° and 90.00°. The inequivalent atoms are Tm at (0.000, 0.000, 0.000), Tm at (0.161, 0.339, 0.131), In at (0.000, 0.000, 0.250) and Co at (0.134, 0.366, 0.500).

The value obtained for the density of states at the Fermi level is 0.989 states/eV/atom. As for the total DFT energy (no corrections): -5.203 eV/atom.

Record 15
Material: YTmInCo
Method: DFT, PBE-GGA
State: relaxed

The structure belongs to space group P4mm (No. 99); the cell edges are 3.421, 3.421 and 7.638 Å and the angles 90.00°, 90.00° and 90.00°. The inequivalent atoms are Y at (0.000, 0.000, 0.000), Tm at (0.000, 0.000, 0.574), In at (0.500, 0.500, 0.292) and Co at (0.500, 0.500, 0.777).

The value obtained for the density of states at the Fermi level is 0.752 states/eV/atom. The relative energy among the computed polymorphs comes out at 0 meV per atom. As for the total DFT energy (no corrections): -5.529 eV/atom.

Record 16
Material: YTmInCo
Method: DFT, PBE-GGA
State: relaxed

The structure belongs to space group F-43m (No. 216); the cell edges are 7.151, 7.151 and 7.151 Å and the angles 90.00°, 90.00° and 90.00°. The inequivalent atoms are Y at (0.000, 0.000, 0.000), Tm at (0.000, 0.000, 0.500), In at (0.250, 0.250, 0.750) and Co at (0.250, 0.250, 0.250).

The value obtained for the density of states at the Fermi level is 0.552 states/eV/atom. The relative energy among the computed polymorphs comes out at 118 meV per atom. As for the total DFT energy (no corrections): -5.411 eV/atom.

Record 17
Material: Tm5ZnIn2Co2
Method: DFT, PBE-GGA
State: relaxed

The structure belongs to space group P4/mbm (No. 127); the cell edges are 11.378, 11.378 and 3.470 Å and the angles 90.00°, 90.00° and 90.00°. The inequivalent atoms are Tm at (0.000, 0.500, 0.000), Tm at (0.073, 0.206, 0.000), Zn at (0.000, 0.000, 0.500), In at (0.176, 0.676, 0.500) and Co at (0.133, 0.367, 0.500).

The value obtained for the density of states at the Fermi level is 0.817 states/eV/atom. As for the total DFT energy (no corrections): -4.643 eV/atom.

Record 18
Material: UInCo2
Method: DFT, PBE-GGA
State: relaxed

The structure belongs to space group Fm-3m (No. 225); the cell edges are 6.437, 6.437 and 6.437 Å and the angles 90.00°, 90.00° and 90.00°. The inequivalent atoms are U at (0.000, 0.000, 0.000), In at (0.000, 0.000, 0.500) and Co at (0.250, 0.250, 0.250).

The value obtained for the density of states at the Fermi level is 1.452 states/eV/atom. As for the total DFT energy (no corrections): -7.061 eV/atom.

Record 19
Material: UInCo
Method: DFT, PBE-GGA
State: relaxed

The structure belongs to space group I4mm (No. 107); the cell edges are 3.074, 3.074 and 11.807 Å and the angles 90.00°, 90.00° and 90.00°. The inequivalent atoms are U at (0.000, 0.000, 0.000), In at (0.000, 0.000, 0.718) and Co at (0.000, 0.000, 0.373).

The value obtained for the density of states at the Fermi level is 1.099 states/eV/atom. As for the total DFT energy (no corrections): -7.096 eV/atom.

Record 20
Material: UInCo2
Method: DFT, PBE-GGA
State: relaxed

The structure belongs to space group R-3m (No. 166, hexagonal axes); the cell edges are 3.3455, 3.3455 and 24.8792 Å and the angles 90.00°, 90.00° and 120.00°. The inequivalent atoms are U at (0.0000, 0.0000, 0.0000), In at (0.0000, 0.0000, 0.5000) and Co at (0.0000, 0.0000, 0.3951).

The value obtained for the density of states at the Fermi level is 1.159 states/eV/atom. As for the total DFT energy (no corrections): -6.709 eV/atom.